A:
DFT (GGA-PBE) results for an optimized crystal structure of K2PbBr.

Values from the calculation:
* density: 3.908 g/cm3

```
K2PbBr
1.0
-1.9165 1.9916 10.1653
1.9165 -1.9916 10.1653
1.9165 1.9916 -10.1653
K Pb Br
2 1 1
Direct
0.0000 0.0000 0.0000 K
0.7120 0.2120 0.5000 K
0.3428 0.8428 0.5000 Pb
0.5846 0.5846 0.0000 Br
```

B:
DFT (GGA-PBE) results for an optimized crystal structure of K2PbBr.

Values from the calculation:
* density: 3.865 g/cm3

```
K2PbBr
1.0
3.6343 0.0000 0.0000
0.0000 6.1330 0.0000
-0.0022 0.0000 7.0416
K Pb Br
2 1 1
Direct
0.0000 0.0000 0.0000 K
0.0021 0.5000 0.5933 K
0.5011 0.0000 0.4792 Pb
0.5018 0.5000 0.9750 Br
```

Unit: meV/atom. Relative energies: A 0; B 130.

A:
DFT (GGA-PBE) results for an optimized crystal structure of KPbBr2.

Values from the calculation:
* density: 4.652 g/cm3

```
KPbBr2
1.0
-2.3101 3.4641 4.5282
2.3101 -3.4641 4.5282
2.3101 3.4641 -4.5282
K Pb Br
1 1 2
Direct
0.0000 0.0000 0.0000 K
0.5000 0.5000 0.0000 Pb
0.2727 0.7727 0.5000 Br
0.7273 0.2273 0.5000 Br
```

B:
DFT (GGA-PBE) results for an optimized crystal structure of KPbBr2.

Values from the calculation:
* density: 4.691 g/cm3

```
KPbBr2
1.0
4.5174 -4.4389 0.0000
4.5174 4.4389 0.0000
-1.2401 0.0000 3.5847
K Pb Br
1 1 2
Direct
0.0000 0.0000 0.0000 K
0.5000 0.5000 0.0000 Pb
0.0000 0.5000 0.0000 Br
0.5000 0.0000 0.0000 Br
```

C:
DFT (GGA-PBE) results for an optimized crystal structure of KPbBr2.

Values from the calculation:
* density: 4.312 g/cm3

```
KPbBr2
1.0
2.1253 1.2270 9.9943
-2.1253 1.2270 9.9943
0.0000 -2.4541 9.9943
K Pb Br
1 1 2
Direct
0.0000 0.0000 0.0000 K
0.5000 0.5000 0.5000 Pb
0.4027 0.4027 0.4027 Br
0.5973 0.5973 0.5973 Br
```

Unit: meV/atom. Relative energies: A 37; B 0; C 8.

A:
DFT (GGA-PBE) results for an optimized crystal structure of KPd2Br6.

Values from the calculation:
* density: 4.087 g/cm3

```
KPd2Br6
1.0
6.8546 0.0000 0.0000
-3.4273 5.9362 0.0000
0.0000 0.0000 7.3020
K Pd Br
1 2 6
Direct
0.0000 0.0000 0.0000 K
0.3333 0.6667 0.5000 Pd
0.6667 0.3333 0.5000 Pd
0.0000 0.3734 0.7031 Br
0.0000 0.6266 0.2969 Br
0.3734 0.0000 0.7031 Br
0.3734 0.3734 0.2969 Br
0.6266 0.0000 0.2969 Br
0.6266 0.6266 0.7031 Br
```

B:
DFT (GGA-PBE) results for an optimized crystal structure of KPd2Br6.

Values from the calculation:
* density: 3.951 g/cm3

```
KPd2Br6
1.0
6.0777 -2.8876 0.0000
6.0777 2.8876 0.0000
-5.1832 0.0000 8.7574
K Pd Br
1 2 6
Direct
0.0000 0.0000 0.0000 K
0.1750 0.1750 0.5701 Pd
0.8250 0.8250 0.4299 Pd
0.0336 0.0336 0.6829 Br
0.3059 0.3059 0.4454 Br
0.3640 0.3640 0.8324 Br
0.6360 0.6360 0.1676 Br
0.6941 0.6941 0.5546 Br
0.9664 0.9664 0.3171 Br
```

Unit: meV/atom. Relative energies: A 52; B 0.